[1]
# PBE-GGA Ce2SmP3Rh12, relaxed
# - total DFT energy (no corrections) (eV per atom) = -7.209
# - energy of formation from the pure elements (eV per atom) = -0.48
data_Ce2SmP3Rh12
_space_group_name_H-M_alt 'R -3 m'
_space_group_IT_number 166
_space_group_name_Hall '-R 3 2"'
_cell_length_a 8.7913
_cell_length_b 8.7913
_cell_length_c 13.4732
_cell_angle_alpha 90.00
_cell_angle_beta 90.00
_cell_angle_gamma 120.00
loop_
_atom_site_label
_atom_site_fract_x
_atom_site_fract_y
_atom_site_fract_z
Ce1 0.0000 0.0000 0.1152
Sm1 0.0000 0.0000 0.5000
P1 0.0000 0.5000 0.0000
Rh1 0.0283 0.5142 0.8293
Rh2 0.0412 0.5206 0.3705

=====

[2]
# PBE-GGA CeSmP2Rh5, relaxed
# - total DFT energy (no corrections) (eV per atom) = -7.228
# - energy of formation from the pure elements (eV per atom) = -0.76
data_CeSmP2Rh5
_space_group_name_H-M_alt 'P 4/m m m'
_space_group_IT_number 123
_space_group_name_Hall '-P 4 2'
_cell_length_a 4.0374
_cell_length_b 4.0374
_cell_length_c 10.9084
_cell_angle_alpha 90.00
_cell_angle_beta 90.00
_cell_angle_gamma 90.00
loop_
_atom_site_label
_atom_site_fract_x
_atom_site_fract_y
_atom_site_fract_z
Ce1 0.0000 0.0000 0.0000
Sm1 0.0000 0.0000 0.5000
P1 0.5000 0.5000 0.2092
Rh1 0.0000 0.5000 0.3009
Rh2 0.5000 0.5000 0.0000

=====

[3]
# PBE-GGA Ce2SmP3Rh4, relaxed
# - total DFT energy (no corrections) (eV per atom) = -7.255
# - energy of formation from the pure elements (eV per atom) = -1.03
data_Ce2SmP3Rh4
_space_group_name_H-M_alt 'P -4 m 2'
_space_group_IT_number 115
_space_group_name_Hall 'P -4 -2'
_cell_length_a 4.0147
_cell_length_b 4.0147
_cell_length_c 11.3990
_cell_angle_alpha 90.00
_cell_angle_beta 90.00
_cell_angle_gamma 90.00
loop_
_atom_site_label
_atom_site_fract_x
_atom_site_fract_y
_atom_site_fract_z
Ce1 0.0000 0.5000 0.2235
Sm1 0.0000 0.0000 0.5000
P1 0.0000 0.5000 0.8799
P2 0.5000 0.5000 0.5000
Rh1 0.0000 0.0000 0.0000
Rh2 0.0000 0.5000 0.6762
Rh3 0.5000 0.5000 0.0000

=====

[4]
# PBE-GGA Ce2SnP3Rh12, relaxed
# - total DFT energy (no corrections) (eV per atom) = -7.058
# - energy of formation from the pure elements (eV per atom) = -0.37
data_Ce2SnP3Rh12
_space_group_name_H-M_alt 'R -3 m'
_space_group_IT_number 166
_space_group_name_Hall '-R 3 2"'
_cell_length_a 8.6623
_cell_length_b 8.6623
_cell_length_c 13.8054
_cell_angle_alpha 90.00
_cell_angle_beta 90.00
_cell_angle_gamma 120.00
loop_
_atom_site_label
_atom_site_fract_x
_atom_site_fract_y
_atom_site_fract_z
Ce1 0.0000 0.0000 0.1112
Sn1 0.0000 0.0000 0.5000
P1 0.0000 0.5000 0.0000
Rh1 0.0240 0.5120 0.8349
Rh2 0.0427 0.5214 0.3668

=====

[5]
# PBE-GGA Ce3SnP2Rh9, relaxed
# - total DFT energy (no corrections) (eV per atom) = -7.249
# - energy of formation from the pure elements (eV per atom) = -0.66
data_Ce3SnP2Rh9
_space_group_name_H-M_alt 'P -3 m 1'
_space_group_IT_number 164
_space_group_name_Hall '-P 3 2"'
_cell_length_a 5.7581
_cell_length_b 5.7581
_cell_length_c 10.1974
_cell_angle_alpha 90.00
_cell_angle_beta 90.00
_cell_angle_gamma 120.00
loop_
_atom_site_label
_atom_site_fract_x
_atom_site_fract_y
_atom_site_fract_z
Ce1 0.0000 0.0000 0.0000
Ce2 0.3333 0.6667 0.6906
Sn1 0.0000 0.0000 0.5000
P1 0.3333 0.6667 0.1540
Rh1 0.0000 0.5000 0.0000
Rh2 0.1584 0.3168 0.2889

=====

[6]
# PBE-GGA Ce4SnP3Rh12, relaxed
# - total DFT energy (no corrections) (eV per atom) = -7.074
# - energy of formation from the pure elements (eV per atom) = -0.46
data_Ce4SnP3Rh12
_space_group_name_H-M_alt 'I m -3 m'
_space_group_IT_number 229
_space_group_name_Hall '-I 4 2 3'
_cell_length_a 9.1578
_cell_length_b 9.1578
_cell_length_c 9.1578
_cell_angle_alpha 90.00
_cell_angle_beta 90.00
_cell_angle_gamma 90.00
loop_
_atom_site_label
_atom_site_fract_x
_atom_site_fract_y
_atom_site_fract_z
Ce1 0.2500 0.2500 0.2500
Sn1 0.0000 0.0000 0.0000
P1 0.0000 0.0000 0.5000
Rh1 0.0000 0.0000 0.2688
Rh2 0.0000 0.2500 0.5000

=====

[7]
# PBE-GGA Ce2SnP3Rh4, relaxed
# - total DFT energy (no corrections) (eV per atom) = -7.115
# - energy of formation from the pure elements (eV per atom) = -0.96
data_Ce2SnP3Rh4
_space_group_name_H-M_alt 'P -4 m 2'
_space_group_IT_number 115
_space_group_name_Hall 'P -4 -2'
_cell_length_a 4.0379
_cell_length_b 4.0379
_cell_length_c 10.7687
_cell_angle_alpha 90.00
_cell_angle_beta 90.00
_cell_angle_gamma 90.00
loop_
_atom_site_label
_atom_site_fract_x
_atom_site_fract_y
_atom_site_fract_z
Ce1 0.0000 0.5000 0.2350
Sn1 0.0000 0.0000 0.5000
P1 0.0000 0.5000 0.8729
P2 0.5000 0.5000 0.5000
Rh1 0.0000 0.0000 0.0000
Rh2 0.0000 0.5000 0.6593
Rh3 0.5000 0.5000 0.0000

=====

[8]
# PBE-GGA TbCe2P3Rh12, relaxed
# - total DFT energy (no corrections) (eV per atom) = -7.215
# - energy of formation from the pure elements (eV per atom) = -0.50
data_TbCe2P3Rh12
_space_group_name_H-M_alt 'R -3 m'
_space_group_IT_number 166
_space_group_name_Hall '-R 3 2"'
_cell_length_a 8.7668
_cell_length_b 8.7668
_cell_length_c 13.4745
_cell_angle_alpha 90.00
_cell_angle_beta 90.00
_cell_angle_gamma 120.00
loop_
_atom_site_label
_atom_site_fract_x
_atom_site_fract_y
_atom_site_fract_z
Tb1 0.0000 0.0000 0.0000
Ce1 0.0000 0.0000 0.3846
P1 0.0000 0.5000 0.5000
Rh1 0.0268 0.5134 0.3293
Rh2 0.0417 0.5208 0.8704

=====

[9]
# PBE-GGA TbCeP2Rh5, relaxed
# - total DFT energy (no corrections) (eV per atom) = -7.101
# - energy of formation from the pure elements (eV per atom) = -0.64
data_TbCeP2Rh5
_space_group_name_H-M_alt 'P 4/m m m'
_space_group_IT_number 123
_space_group_name_Hall '-P 4 2'
_cell_length_a 4.0468
_cell_length_b 4.0468
_cell_length_c 10.7405
_cell_angle_alpha 90.00
_cell_angle_beta 90.00
_cell_angle_gamma 90.00
loop_
_atom_site_label
_atom_site_fract_x
_atom_site_fract_y
_atom_site_fract_z
Tb1 0.0000 0.0000 0.0000
Ce1 0.5000 0.5000 0.5000
P1 0.5000 0.5000 0.2094
Rh1 0.0000 0.5000 0.3052
Rh2 0.5000 0.5000 0.0000

=====

[10]
# PBE-GGA Tb2CeP3Rh12, relaxed
# - total DFT energy (no corrections) (eV per atom) = -7.091
# - energy of formation from the pure elements (eV per atom) = -0.44
data_Tb2CeP3Rh12
_space_group_name_H-M_alt 'R -3 m'
_space_group_IT_number 166
_space_group_name_Hall '-R 3 2"'
_cell_length_a 8.9278
_cell_length_b 8.9278
_cell_length_c 12.9392
_cell_angle_alpha 90.00
_cell_angle_beta 90.00
_cell_angle_gamma 120.00
loop_
_atom_site_label
_atom_site_fract_x
_atom_site_fract_y
_atom_site_fract_z
Tb1 0.0000 0.0000 0.1260
Ce1 0.0000 0.0000 0.5000
P1 0.0000 0.5000 0.0000
Rh1 0.0094 0.5047 0.8261
Rh2 0.0279 0.5140 0.3819

=====

[11]
# PBE-GGA TbCe2P3Rh4, relaxed
# - total DFT energy (no corrections) (eV per atom) = -7.277
# - energy of formation from the pure elements (eV per atom) = -1.06
data_TbCe2P3Rh4
_space_group_name_H-M_alt 'P -4 m 2'
_space_group_IT_number 115
_space_group_name_Hall 'P -4 -2'
_cell_length_a 3.9994
_cell_length_b 3.9994
_cell_length_c 11.3222
_cell_angle_alpha 90.00
_cell_angle_beta 90.00
_cell_angle_gamma 90.00
loop_
_atom_site_label
_atom_site_fract_x
_atom_site_fract_y
_atom_site_fract_z
Tb1 0.0000 0.0000 0.0000
Ce1 0.0000 0.5000 0.7247
P1 0.0000 0.5000 0.3781
P2 0.5000 0.5000 0.0000
Rh1 0.0000 0.0000 0.5000
Rh2 0.0000 0.5000 0.1719
Rh3 0.5000 0.5000 0.5000

=====

[12]
# PBE-GGA TbCeP2Rh2, relaxed
# - total DFT energy (no corrections) (eV per atom) = -7.270
# - energy of formation from the pure elements (eV per atom) = -1.26
data_TbCeP2Rh2
_space_group_name_H-M_alt 'P -3 m 1'
_space_group_IT_number 164
_space_group_name_Hall '-P 3 2"'
_cell_length_a 4.0962
_cell_length_b 4.0962
_cell_length_c 7.7831
_cell_angle_alpha 90.00
_cell_angle_beta 90.00
_cell_angle_gamma 120.00
loop_
_atom_site_label
_atom_site_fract_x
_atom_site_fract_y
_atom_site_fract_z
Tb1 0.0000 0.0000 0.0000
Ce1 0.0000 0.0000 0.5000
P1 0.3333 0.6667 0.7642
Rh1 0.3333 0.6667 0.2609

=====

[13]
# PBE-GGA Ce2TcP4Rh3, relaxed
# - total DFT energy (no corrections) (eV per atom) = -7.687
# - energy of formation from the pure elements (eV per atom) = -1.09
data_Ce2TcP4Rh3
_space_group_name_H-M_alt 'P -4 m 2'
_space_group_IT_number 115
_space_group_name_Hall 'P -4 -2'
_cell_length_a 4.1964
_cell_length_b 4.1964
_cell_length_c 9.3910
_cell_angle_alpha 90.00
_cell_angle_beta 90.00
_cell_angle_gamma 90.00
loop_
_atom_site_label
_atom_site_fract_x
_atom_site_fract_y
_atom_site_fract_z
Ce1 0.0000 0.5000 0.2411
Tc1 0.0000 0.0000 0.5000
P1 0.0000 0.0000 0.0000
P2 0.0000 0.5000 0.6303
P3 0.5000 0.5000 0.0000
Rh1 0.0000 0.5000 0.8869
Rh2 0.5000 0.5000 0.5000

=====

[14]
# PBE-GGA CeTc2P2Rh, relaxed
# - total DFT energy (no corrections) (eV per atom) = -8.213
# - energy of formation from the pure elements (eV per atom) = -0.74
data_CeTc2P2Rh
_space_group_name_H-M_alt 'P m c 21'
_space_group_IT_number 26
_space_group_name_Hall 'P 2c -2'
_cell_length_a 4.0302
_cell_length_b 7.2169
_cell_length_c 6.6058
_cell_angle_alpha 90.00
_cell_angle_beta 90.00
_cell_angle_gamma 90.00
loop_
_atom_site_label
_atom_site_fract_x
_atom_site_fract_y
_atom_site_fract_z
Ce1 0.0000 0.0924 0.0000
Tc1 0.0000 0.3184 0.3902
Tc2 0.5000 0.4289 0.0932
P1 0.0000 0.4067 0.7233
P2 0.5000 0.1575 0.3083
Rh1 0.5000 0.1981 0.6918

=====

[15]
# PBE-GGA Ce2TePRh6, relaxed
# - formation energy without anion corrections (kcal/mol of atoms) = -15.5
# - total DFT energy (no corrections) (eV per atom) = -7.126
data_Ce2TePRh6
_space_group_name_H-M_alt 'P m m n'
_space_group_IT_number 59
_cell_length_a 5.5368
_cell_length_b 8.5659
_cell_length_c 8.2125
_cell_angle_alpha 90.00
_cell_angle_beta 90.00
_cell_angle_gamma 90.00
loop_
_space_group_symop_operation_xyz
'x,y,z'
'-x,-y,-z'
'-x+1/2,-y+1/2,z'
'x+1/2,y+1/2,-z'
'x+1/2,-y,-z'
'-x+1/2,y,z'
'-x,y+1/2,-z'
'x,-y+1/2,z'
loop_
_atom_site_label
_atom_site_fract_x
_atom_site_fract_y
_atom_site_fract_z
Ce1 0.2500 0.0201 0.2447
Te1 0.2500 0.2500 0.7854
P1 0.2500 0.7500 0.7285
Rh1 0.0015 0.2500 0.5012
Rh2 0.0020 0.7500 0.9507
Rh3 0.2500 0.5023 0.6037

=====

[16]
# PBE-GGA CeTh2P3Rh12, relaxed
# - total DFT energy (no corrections) (eV per atom) = -7.446
# - energy of formation from the pure elements (eV per atom) = -0.49
data_CeTh2P3Rh12
_space_group_name_H-M_alt 'R -3 m'
_space_group_IT_number 166
_space_group_name_Hall '-R 3 2"'
_cell_length_a 8.5316
_cell_length_b 8.5316
_cell_length_c 15.2260
_cell_angle_alpha 90.00
_cell_angle_beta 90.00
_cell_angle_gamma 120.00
loop_
_atom_site_label
_atom_site_fract_x
_atom_site_fract_y
_atom_site_fract_z
Ce1 0.0000 0.0000 0.0000
Th1 0.0000 0.0000 0.3931
P1 0.0000 0.5000 0.5000
Rh1 0.0237 0.5119 0.3529
Rh2 0.0482 0.5241 0.8570

=====

[17]
# PBE-GGA CeThP2Rh5, relaxed
# - total DFT energy (no corrections) (eV per atom) = -7.626
# - energy of formation from the pure elements (eV per atom) = -0.86
data_CeThP2Rh5
_space_group_name_H-M_alt 'P 4/m m m'
_space_group_IT_number 123
_space_group_name_Hall '-P 4 2'
_cell_length_a 4.0662
_cell_length_b 4.0662
_cell_length_c 10.8053
_cell_angle_alpha 90.00
_cell_angle_beta 90.00
_cell_angle_gamma 90.00
loop_
_atom_site_label
_atom_site_fract_x
_atom_site_fract_y
_atom_site_fract_z
Ce1 0.0000 0.0000 0.0000
Th1 0.0000 0.0000 0.5000
P1 0.5000 0.5000 0.2112
Rh1 0.0000 0.5000 0.3053
Rh2 0.5000 0.5000 0.0000

=====

[18]
# PBE-GGA Ce2TiP3Rh4, relaxed
# - total DFT energy (no corrections) (eV per atom) = -7.630
# - energy of formation from the pure elements (eV per atom) = -1.09
data_Ce2TiP3Rh4
_space_group_name_H-M_alt 'P -4 m 2'
_space_group_IT_number 115
_space_group_name_Hall 'P -4 -2'
_cell_length_a 4.0201
_cell_length_b 4.0201
_cell_length_c 10.3940
_cell_angle_alpha 90.00
_cell_angle_beta 90.00
_cell_angle_gamma 90.00
loop_
_atom_site_label
_atom_site_fract_x
_atom_site_fract_y
_atom_site_fract_z
Ce1 0.0000 0.5000 0.2404
Ti1 0.0000 0.0000 0.5000
P1 0.0000 0.5000 0.8660
P2 0.5000 0.5000 0.5000
Rh1 0.0000 0.0000 0.0000
Rh2 0.0000 0.5000 0.6392
Rh3 0.5000 0.5000 0.0000

=====

[19]
# PBE-GGA Ce3TlP2Rh9, relaxed
# - total DFT energy (no corrections) (eV per atom) = -6.946
# - energy of formation from the pure elements (eV per atom) = -0.47
data_Ce3TlP2Rh9
_space_group_name_H-M_alt 'P -3 m 1'
_space_group_IT_number 164
_space_group_name_Hall '-P 3 2"'
_cell_length_a 7.1331
_cell_length_b 7.1331
_cell_length_c 6.6257
_cell_angle_alpha 90.00
_cell_angle_beta 90.00
_cell_angle_gamma 120.00
loop_
_atom_site_label
_atom_site_fract_x
_atom_site_fract_y
_atom_site_fract_z
Ce1 0.0000 0.0000 0.0000
Ce2 0.3333 0.6667 0.6791
Tl1 0.0000 0.0000 0.5000
P1 0.3333 0.6667 0.1310
Rh1 0.0000 0.5000 0.0000
Rh2 0.1990 0.3979 0.3621